[1]
# Cu2AsP GGA-PBE relaxed
# energy relative to the elements	1.41	eV per formula unit
# calculated volume	235	Å³ per cell
# polymorph energy (0 for the lowest one)	256	meV per atom
data_Cu2AsP
_chemical_formula_sum 'Cu8 As4 P4'
_cell_length_a 6.1738
_cell_length_b 6.1738
_cell_length_c 6.1738
_cell_angle_alpha 90.00
_cell_angle_beta 90.00
_cell_angle_gamma 90.00
_symmetry_space_group_name_H-M 'F m -3 m'
_symmetry_Int_Tables_number 225
_symmetry_space_group_name_Hall '-F 4 2 3'
loop_
_atom_site_label
_atom_site_type_symbol
_atom_site_fract_x
_atom_site_fract_y
_atom_site_fract_z
Cu1 Cu 0.2500 0.2500 0.2500
As1 As 0.0000 0.0000 0.0000
P1 P 0.0000 0.0000 0.5000

=====

[2]
# Cu2AsP GGA-PBE relaxed
# energy relative to the elements	0.64	eV per formula unit
# calculated volume	118	Å³ per cell
# polymorph energy (0 for the lowest one)	62	meV per atom
data_Cu2AsP
_chemical_formula_sum 'Cu4 As2 P2'
_cell_length_a 7.2774
_cell_length_b 3.2186
_cell_length_c 5.1977
_cell_angle_alpha 90.00
_cell_angle_beta 104.30
_cell_angle_gamma 90.00
_symmetry_space_group_name_H-M 'C 1 2/m 1'
_symmetry_Int_Tables_number 12
loop_
_symmetry_equiv_pos_as_xyz
'x,y,z'
'-x,-y,-z'
'-x,y,-z'
'x,-y,z'
'x+1/2,y+1/2,z'
'-x+1/2,-y+1/2,-z'
'-x+1/2,y+1/2,-z'
'x+1/2,-y+1/2,z'
loop_
_atom_site_label
_atom_site_type_symbol
_atom_site_fract_x
_atom_site_fract_y
_atom_site_fract_z
Cu1 Cu 0.2440 0.0000 0.2122
As1 As 0.0000 0.0000 0.5000
P1 P 0.0000 0.5000 0.0000

=====

[3]
# CuAsP4 GGA-PBE relaxed
# energy relative to the elements	4.50	eV per formula unit
# calculated volume	376	Å³ per cell
data_CuAsP4
_chemical_formula_sum 'Cu4 As4 P16'
_cell_length_a 7.2147
_cell_length_b 7.2147
_cell_length_c 7.2147
_cell_angle_alpha 90.00
_cell_angle_beta 90.00
_cell_angle_gamma 90.00
_symmetry_space_group_name_H-M 'F -4 3 m'
_symmetry_Int_Tables_number 216
_symmetry_space_group_name_Hall 'F -4 2 3'
loop_
_atom_site_label
_atom_site_type_symbol
_atom_site_fract_x
_atom_site_fract_y
_atom_site_fract_z
Cu1 Cu 0.0000 0.0000 0.0000
As1 As 0.2500 0.2500 0.7500
P1 P 0.1312 0.1312 0.3688

=====

[4]
# Cu2AsP GGA-PBE relaxed
# energy relative to the elements	0.66	eV per formula unit
# calculated volume	176	Å³ per cell
# polymorph energy (0 for the lowest one)	67	meV per atom
data_Cu2AsP
_chemical_formula_sum 'Cu6 As3 P3'
_cell_length_a 3.0865
_cell_length_b 3.0865
_cell_length_c 21.3487
_cell_angle_alpha 90.00
_cell_angle_beta 90.00
_cell_angle_gamma 120.00
_symmetry_space_group_name_H-M 'R -3 m'
_symmetry_Int_Tables_number 166
_symmetry_space_group_name_Hall '-R 3 2"'
loop_
_atom_site_label
_atom_site_type_symbol
_atom_site_fract_x
_atom_site_fract_y
_atom_site_fract_z
Cu1 Cu 0.0000 0.0000 0.2439
As1 As 0.0000 0.0000 0.0000
P1 P 0.0000 0.0000 0.5000

=====

[5]
# Cu2AsP GGA-PBE relaxed
# energy relative to the elements	1.13	eV per formula unit
# calculated volume	301	Å³ per cell
# polymorph energy (0 for the lowest one)	184	meV per atom
data_Cu2AsP
_chemical_formula_sum 'Cu8 As4 P4'
_cell_length_a 5.4252
_cell_length_b 5.4252
_cell_length_c 10.2192
_cell_angle_alpha 90.00
_cell_angle_beta 90.00
_cell_angle_gamma 90.00
_symmetry_space_group_name_H-M 'I -4 2 d'
_symmetry_Int_Tables_number 122
_symmetry_space_group_name_Hall 'I -4 2bw'
loop_
_atom_site_label
_atom_site_type_symbol
_atom_site_fract_x
_atom_site_fract_y
_atom_site_fract_z
Cu1 Cu 0.2280 0.2500 0.1250
As1 As 0.0000 0.0000 0.5000
P1 P 0.0000 0.0000 0.0000

=====

[6]
# Cu4AsP GGA-PBE relaxed
# energy relative to the elements	1.83	eV per formula unit
# calculated volume	335	Å³ per cell
data_Cu4AsP
_chemical_formula_sum 'Cu16 As4 P4'
_cell_length_a 6.9475
_cell_length_b 6.9475
_cell_length_c 6.9475
_cell_angle_alpha 90.00
_cell_angle_beta 90.00
_cell_angle_gamma 90.00
_symmetry_space_group_name_H-M 'F -4 3 m'
_symmetry_Int_Tables_number 216
_symmetry_space_group_name_Hall 'F -4 2 3'
loop_
_atom_site_label
_atom_site_type_symbol
_atom_site_fract_x
_atom_site_fract_y
_atom_site_fract_z
Cu1 Cu 0.1249 0.1249 0.1249
As1 As 0.0000 0.0000 0.5000
P1 P 0.2500 0.2500 0.7500

=====

[7]
# Cu3AsP4 GGA-PBE relaxed
# energy relative to the elements	1.02	eV per formula unit
# calculated volume	293	Å³ per cell
# polymorph energy (0 for the lowest one)	30	meV per atom
data_Cu3AsP4
_chemical_formula_sum 'Cu6 As2 P8'
_cell_length_a 7.1069
_cell_length_b 6.5042
_cell_length_c 6.3314
_cell_angle_alpha 90.00
_cell_angle_beta 90.00
_cell_angle_gamma 90.00
_symmetry_space_group_name_H-M 'P m n 21'
_symmetry_Int_Tables_number 31
loop_
_symmetry_equiv_pos_as_xyz
'x,y,z'
'-x+1/2,-y,z+1/2'
'-x,y,z'
'x+1/2,-y,z+1/2'
loop_
_atom_site_label
_atom_site_type_symbol
_atom_site_fract_x
_atom_site_fract_y
_atom_site_fract_z
Cu1 Cu 0.0000 0.1519 0.0000
Cu2 Cu 0.2458 0.3371 0.5040
As1 As 0.0000 0.8324 0.4967
P1 P 0.0000 0.1686 0.3552
P2 P 0.0000 0.8317 0.8738
P3 P 0.2373 0.3414 0.8626

=====

[8]
# Cu2AsP GGA-PBE relaxed
# energy relative to the elements	0.76	eV per formula unit
# calculated volume	123	Å³ per cell
# polymorph energy (0 for the lowest one)	91	meV per atom
data_Cu2AsP
_chemical_formula_sum 'Cu4 As2 P2'
_cell_length_a 2.7220
_cell_length_b 3.6562
_cell_length_c 12.3685
_cell_angle_alpha 90.00
_cell_angle_beta 90.00
_cell_angle_gamma 90.00
_symmetry_space_group_name_H-M 'I m m 2'
_symmetry_Int_Tables_number 44
loop_
_symmetry_equiv_pos_as_xyz
'x,y,z'
'-x,-y,z'
'-x,y,z'
'x,-y,z'
'x+1/2,y+1/2,z+1/2'
'-x+1/2,-y+1/2,z+1/2'
'-x+1/2,y+1/2,z+1/2'
'x+1/2,-y+1/2,z+1/2'
loop_
_atom_site_label
_atom_site_type_symbol
_atom_site_fract_x
_atom_site_fract_y
_atom_site_fract_z
Cu1 Cu 0.0000 0.0000 0.0000
Cu2 Cu 0.0000 0.5000 0.2916
As1 As 0.0000 0.0000 0.6083
P1 P 0.0000 0.5000 0.8627